Density functional theory data (PBE-GGA) for a relaxed Y2GeTe crystal.

DOS(E_F) in states/eV/f.u.: 1.6
Spin magnetization in μB per formula unit: 0.00
ΔE_f (raw) in kcal/mol of atoms: -18.3

a = 7.4325 Å, b = 7.4325 Å, c = 7.4325 Å
α = 90.00°, β = 90.00°, γ = 90.00°
Closest atoms and distances in Å follow each position.
Space group Fm-3m (No. 225)
Inequivalent atoms, fractional coordinates:
Y 0.2500 0.2500 0.2500 x8  4 Te 3.22, 4 Ge 3.22
Ge 0.0000 0.0000 0.0000 x4  8 Y 3.22
Te 0.0000 0.0000 0.5000 x4  8 Y 3.22

---

Density functional theory data (PBE-GGA) for a relaxed Y3GeTe crystal.

DOS(E_F) in states/eV/f.u.: 6.5
Spin magnetization in μB per formula unit: 0.44
ΔE_f (raw) in kcal/mol of atoms: -20.2

a = 8.4634 Å, b = 4.1228 Å, c = 8.5025 Å
α = 90.00°, β = 91.20°, γ = 90.00°
Closest atoms and distances in Å follow each position.
Space group P2_1/m (No. 11)
Inequivalent atoms, fractional coordinates:
Y 0.0074 0.2500 0.3470 x2  3 Ge 3.00-3.33, 1 Te 3.07, 2 Y 3.32
Y 0.3566 0.2500 0.1387 x2  2 Ge 2.99, 3 Te 3.05-3.10
Y 0.3646 0.2500 0.6083 x2  3 Ge 2.97-3.14, 2 Te 3.15
Ge 0.2644 0.7500 0.3749 x2  7 Y 2.97-3.14
Te 0.2835 0.7500 0.8753 x2  6 Y 3.05-3.15

---

Density functional theory data (PBE-GGA) for a relaxed Y6GeTe5 crystal.

DOS(E_F) in states/eV/f.u.: 6.2
Spin magnetization in μB per formula unit: 0.00
ΔE_f (raw) in kcal/mol of atoms: -30.6

a = 7.5335 Å, b = 13.0172 Å, c = 7.5279 Å
α = 90.00°, β = 109.36°, γ = 90.00°
Closest atoms and distances in Å follow each position.
Space group C2/m (No. 12)
Inequivalent atoms, fractional coordinates:
Y 0.2257 0.0000 0.2617 x4  1 Ge 2.85, 4 Te 3.10-3.12
Y 0.2298 0.1542 0.7309 x8  1 Ge 2.84, 4 Te 3.08-3.10
Ge 0.0000 0.0000 0.5000 x2  6 Y 2.84-2.85
Te 0.0000 0.1754 0.0000 x4  6 Y 3.08-3.23
Te 0.0000 0.3356 0.5000 x4  6 Y 3.09-3.10
Te 0.0000 0.5000 0.0000 x2  6 Y 3.09-3.29

---

Density functional theory data (PBE-GGA) for a relaxed Y2GeTe crystal.

DOS(E_F) in states/eV/f.u.: 0.6
Spin magnetization in μB per formula unit: 0.00
ΔE_f (raw) in kcal/mol of atoms: -26.4

a = 4.2297 Å, b = 4.2297 Å, c = 21.8100 Å
α = 90.00°, β = 90.00°, γ = 120.00°
Closest atoms and distances in Å follow each position.
Space group R3m (No. 160, hexagonal axes)
Inequivalent atoms, fractional coordinates:
Y 0.0000 0.0000 0.0000 x3  3 Ge 2.88, 3 Te 3.18
Y 0.0000 0.0000 0.1898 x3  3 Ge 2.92, 3 Te 3.22
Ge 0.0000 0.0000 0.5964 x3  6 Y 2.88-2.92
Te 0.0000 0.0000 0.4271 x3  6 Y 3.18-3.22

---

Density functional theory data (PBE-GGA) for a relaxed Y3GeTe crystal.

DOS(E_F) in states/eV/f.u.: 6.0
Spin magnetization in μB per formula unit: 0.00
ΔE_f (raw) in kcal/mol of atoms: -9.5

a = 5.4183 Å, b = 5.4183 Å, c = 5.4183 Å
α = 90.00°, β = 90.00°, γ = 90.00°
Closest atoms and distances in Å follow each position.
Space group Pm-3m (No. 221)
Inequivalent atoms, fractional coordinates:
Y 0.0000 0.0000 0.5000 x3  2 Ge 2.71
Ge 0.0000 0.0000 0.0000 x1  6 Y 2.71
Te 0.5000 0.5000 0.5000 x1  12 Y 3.83

---

Density functional theory data (PBE-GGA) for a relaxed Y2Ge2Te crystal.

DOS(E_F) in states/eV/f.u.: 2.9
Spin magnetization in μB per formula unit: 0.00
ΔE_f (raw) in kcal/mol of atoms: -18.6

a = 8.0066 Å, b = 8.0066 Å, c = 4.0922 Å
α = 90.00°, β = 90.00°, γ = 90.00°
Closest atoms and distances in Å follow each position.
Space group P4/mbm (No. 127)
Inequivalent atoms, fractional coordinates:
Y 0.1791 0.3209 0.0000 x4  2 Te 2.94, 6 Ge 3.13-3.15
Ge 0.1090 0.6090 0.5000 x4  1 Ge 2.47
Te 0.0000 0.0000 0.0000 x2  4 Y 2.94